i | The following is a DFT calculation (PBE) of an optimized crystal structure of AcScAl. Values from VASP.

Computed properties:
* crystal system: trigonal

```
&SYSTEM
  ibrav = 0, nat = 3, ntyp = 3
/
ATOMIC_SPECIES
Ac 227.00 Ac.upf
Sc 44.96 Sc.upf
Al 26.98 Al.upf
ATOMIC_POSITIONS angstrom
Ac 0.0000 0.0000 0.0000
Sc 2.5286 1.4599 2.0140
Al 0.0000 2.9197 2.0199
CELL_PARAMETERS angstrom
5.0571 0.0000 0.0000
-2.5286 4.3796 0.0000
0.0000 0.0000 4.0314
```

ii | The following is a DFT calculation (PBE) of an optimized crystal structure of AcScAl. Values from VASP.

Computed properties:
* crystal system: tetragonal

```
&SYSTEM
  ibrav = 0, nat = 3, ntyp = 3
/
ATOMIC_SPECIES
Ac 227.00 Ac.upf
Sc 44.96 Sc.upf
Al 26.98 Al.upf
ATOMIC_POSITIONS angstrom
Ac 0.0000 0.0000 0.0000
Sc 0.0000 0.0000 3.8462
Al 0.0000 0.0000 8.8793
CELL_PARAMETERS angstrom
-1.7982 1.7982 6.5515
1.7982 -1.7982 6.5515
1.7982 1.7982 -6.5515
```

Going by the energies, ii is most stable and the next is 0.035 eV/atom up.

i | The following is a DFT calculation (PBE) of an optimized crystal structure of Ac2ScAl. Values from VASP.

Computed properties:
* crystal system: trigonal

```
&SYSTEM
  ibrav = 0, nat = 4, ntyp = 3
/
ATOMIC_SPECIES
Ac 227.00 Ac.upf
Sc 44.96 Sc.upf
Al 26.98 Al.upf
ATOMIC_POSITIONS angstrom
Ac 0.0000 0.0000 3.4249
Ac 0.0000 0.0000 32.3669
Sc 0.0000 0.0000 0.0000
Al 0.0000 0.0000 17.8959
CELL_PARAMETERS angstrom
1.8283 1.0556 11.9306
-1.8283 1.0556 11.9306
0.0000 -2.1112 11.9306
```

ii | The following is a DFT calculation (PBE) of an optimized crystal structure of Ac2ScAl. Values from VASP.

Computed properties:
* crystal system: cubic

```
&SYSTEM
  ibrav = 0, nat = 4, ntyp = 3
/
ATOMIC_SPECIES
Ac 227.00 Ac.upf
Sc 44.96 Sc.upf
Al 26.98 Al.upf
ATOMIC_POSITIONS angstrom
Ac 2.0011 2.0011 2.0011
Ac 6.0032 6.0032 6.0032
Sc 0.0000 0.0000 0.0000
Al 4.0021 4.0021 4.0021
CELL_PARAMETERS angstrom
0.0000 4.0021 4.0021
4.0021 0.0000 4.0021
4.0021 4.0021 0.0000
```

iii | The following is a DFT calculation (PBE) of an optimized crystal structure of Ac2ScAl. Values from VASP.

Computed properties:
* crystal system: tetragonal

```
&SYSTEM
  ibrav = 0, nat = 4, ntyp = 3
/
ATOMIC_SPECIES
Ac 227.00 Ac.upf
Sc 44.96 Sc.upf
Al 26.98 Al.upf
ATOMIC_POSITIONS angstrom
Ac 0.0000 0.0000 1.8440
Ac 0.0000 0.0000 6.0796
Sc 2.0270 2.0270 3.9618
Al 2.0270 2.0270 0.0000
CELL_PARAMETERS angstrom
4.0539 0.0000 0.0000
0.0000 4.0539 0.0000
0.0000 0.0000 7.9235
```

iv | The following is a DFT calculation (PBE) of an optimized crystal structure of Ac2ScAl. Values from VASP.

Computed properties:
* crystal system: tetragonal

```
&SYSTEM
  ibrav = 0, nat = 4, ntyp = 3
/
ATOMIC_SPECIES
Ac 227.00 Ac.upf
Sc 44.96 Sc.upf
Al 26.98 Al.upf
ATOMIC_POSITIONS angstrom
Ac 0.0000 2.5901 0.0000
Ac 2.5901 0.0000 0.0000
Sc 0.0000 0.0000 2.3790
Al 2.5901 2.5901 2.3790
CELL_PARAMETERS angstrom
5.1802 0.0000 0.0000
0.0000 5.1802 0.0000
0.0000 0.0000 4.7581
```

Going by the energies, iii is most stable and the next is 0.020 eV/atom up.

i | The following is a DFT calculation (PBE) of an optimized crystal structure of Ac2AlSe. Values from VASP.

Computed properties:
* crystal system: trigonal

```
&SYSTEM
  ibrav = 0, nat = 4, ntyp = 3
/
ATOMIC_SPECIES
Ac 227.00 Ac.upf
Al 26.98 Al.upf
Se 78.96 Se.upf
ATOMIC_POSITIONS angstrom
Ac 0.0000 0.0000 6.0328
Ac 0.0000 0.0000 18.4285
Al 0.0000 0.0000 0.0000
Se 0.0000 0.0000 12.2306
CELL_PARAMETERS angstrom
2.2073 1.2744 8.1538
-2.2073 1.2744 8.1538
0.0000 -2.5488 8.1538
```

ii | The following is a DFT calculation (PBE) of an optimized crystal structure of Ac2AlSe. Values from VASP.

Computed properties:
* crystal system: orthorhombic

```
&SYSTEM
  ibrav = 0, nat = 8, ntyp = 3
/
ATOMIC_SPECIES
Ac 227.00 Ac.upf
Al 26.98 Al.upf
Se 78.96 Se.upf
ATOMIC_POSITIONS angstrom
Ac 2.3334 10.9107 3.3235
Ac 2.3334 4.6103 3.3235
Ac 2.3334 -4.6103 1.1078
Ac 2.3334 -10.9107 1.1078
Al 2.3334 0.8162 3.3235
Al 2.3334 -0.8162 1.1078
Se 2.3334 7.7493 3.3235
Se 2.3334 -7.7493 1.1078
CELL_PARAMETERS angstrom
2.3334 -12.6307 0.0000
2.3334 12.6307 0.0000
0.0000 0.0000 4.4313
```

iii | The following is a DFT calculation (PBE) of an optimized crystal structure of Ac2AlSe. Values from VASP.

Computed properties:
* crystal system: tetragonal

```
&SYSTEM
  ibrav = 0, nat = 4, ntyp = 3
/
ATOMIC_SPECIES
Ac 227.00 Ac.upf
Al 26.98 Al.upf
Se 78.96 Se.upf
ATOMIC_POSITIONS angstrom
Ac 0.0000 0.0000 2.0484
Ac 0.0000 0.0000 6.3383
Al 1.8997 1.8997 4.1934
Se 1.8997 1.8997 0.0000
CELL_PARAMETERS angstrom
3.7994 0.0000 0.0000
0.0000 3.7994 0.0000
0.0000 0.0000 8.3867
```

Going by the energies, ii is most stable and the next is 0.122 eV/atom up.

i | The following is a DFT calculation (PBE) of an optimized crystal structure of AcAlSi2. Values from VASP.

Computed properties:
* crystal system: trigonal

```
&SYSTEM
  ibrav = 0, nat = 4, ntyp = 3
/
ATOMIC_SPECIES
Ac 227.00 Ac.upf
Al 26.98 Al.upf
Si 28.09 Si.upf
ATOMIC_POSITIONS angstrom
Ac 0.0000 0.0000 0.0000
Al 0.0000 0.0000 8.0881
Si 0.0000 0.0000 3.3011
Si 0.0000 0.0000 12.8752
CELL_PARAMETERS angstrom
2.1867 1.2625 5.3921
-2.1867 1.2625 5.3921
0.0000 -2.5249 5.3921
```

ii | The following is a DFT calculation (PBE) of an optimized crystal structure of AcAlSi2. Values from VASP.

Computed properties:
* crystal system: orthorhombic

```
&SYSTEM
  ibrav = 0, nat = 16, ntyp = 3
/
ATOMIC_SPECIES
Ac 227.00 Ac.upf
Al 26.98 Al.upf
Si 28.09 Si.upf
ATOMIC_POSITIONS angstrom
Ac 1.0906 1.1301 1.4224
Ac 2.5552 3.3902 6.8352
Ac 4.7364 1.1301 3.9905
Ac 6.2011 3.3902 9.4033
Al 0.0274 3.3902 4.1292
Al 3.6185 1.1301 9.5420
Al 3.6732 3.3902 1.2836
Al 7.2643 1.1301 6.6964
Si 1.1847 1.1301 8.9556
Si 1.4210 1.1301 4.5345
Si 2.2249 3.3902 9.9473
Si 2.4611 3.3902 3.5428
Si 4.8306 1.1301 7.2828
Si 5.0668 1.1301 0.8783
Si 5.8707 3.3902 6.2911
Si 6.1069 3.3902 1.8700
CELL_PARAMETERS angstrom
7.2917 0.0000 0.0000
0.0000 4.5202 0.0000
0.0000 0.0000 10.8256
```

Going by the energies, ii is most stable and the next is 0.016 eV/atom up.

i | The following is a DFT calculation (PBE) of an optimized crystal structure of AcAl3Si3. Values from VASP.

Computed properties:
* crystal system: trigonal

```
&SYSTEM
  ibrav = 0, nat = 14, ntyp = 3
/
ATOMIC_SPECIES
Ac 227.00 Ac.upf
Al 26.98 Al.upf
Si 28.09 Si.upf
ATOMIC_POSITIONS angstrom
Ac 0.0000 0.0000 3.7010
Ac 0.0000 0.0000 18.5805
Al -2.4354 0.0049 8.3576
Al -1.2219 -2.1067 13.9238
Al 1.2135 -2.1116 8.3576
Al -1.2135 2.1115 13.9238
Al 1.2219 2.1067 8.3576
Al 2.4354 -0.0049 13.9238
Si -1.1857 -2.0513 9.1112
Si -2.3693 0.0012 13.1702
Si -1.1837 2.0525 9.1112
Si 1.1837 -2.0525 13.1703
Si 2.3693 -0.0012 9.1112
Si 1.1857 2.0513 13.1703
CELL_PARAMETERS angstrom
3.6213 2.0908 7.4271
-3.6213 2.0908 7.4271
0.0000 -4.1815 7.4271
```

ii | The following is a DFT calculation (PBE) of an optimized crystal structure of AcAl3Si3. Values from VASP.

Computed properties:
* crystal system: cubic

```
&SYSTEM
  ibrav = 0, nat = 14, ntyp = 3
/
ATOMIC_SPECIES
Ac 227.00 Ac.upf
Al 26.98 Al.upf
Si 28.09 Si.upf
ATOMIC_POSITIONS angstrom
Ac 0.0000 0.0000 0.0000
Ac 3.4589 3.4589 3.4589
Al 0.0000 1.7294 3.4589
Al 0.0000 5.1883 3.4589
Al 1.7294 3.4589 0.0000
Al 3.4589 0.0000 1.7294
Al 3.4589 0.0000 5.1883
Al 5.1883 3.4589 0.0000
Si 0.0000 3.4589 1.7294
Si 0.0000 3.4589 5.1883
Si 1.7294 0.0000 3.4589
Si 3.4589 1.7294 0.0000
Si 3.4589 5.1883 0.0000
Si 5.1883 0.0000 3.4589
CELL_PARAMETERS angstrom
6.9177 0.0000 0.0000
0.0000 6.9177 0.0000
0.0000 0.0000 6.9177
```

Going by the energies, i is most stable and the next is 0.169 eV/atom up.

i | The following is a DFT calculation (PBE) of an optimized crystal structure of AcAl2Si. Values from VASP.

Computed properties:
* crystal system: orthorhombic

```
&SYSTEM
  ibrav = 0, nat = 8, ntyp = 3
/
ATOMIC_SPECIES
Ac 227.00 Ac.upf
Al 26.98 Al.upf
Si 28.09 Si.upf
ATOMIC_POSITIONS angstrom
Ac 0.0000 0.0000 0.0000
Ac 3.6692 0.0000 2.9406
Al 0.0000 0.0000 3.4329
Al 2.3691 0.0000 6.2672
Al 3.6692 0.0000 11.4251
Al 4.9694 0.0000 6.2672
Si 1.2211 0.0000 8.4820
Si 6.1173 0.0000 8.4820
CELL_PARAMETERS angstrom
7.3384 0.0000 0.0000
0.0000 2.1817 5.9520
0.0000 -2.1817 5.9520
```

ii | The following is a DFT calculation (PBE) of an optimized crystal structure of AcAl2Si. Values from VASP.

Computed properties:
* crystal system: orthorhombic

```
&SYSTEM
  ibrav = 0, nat = 8, ntyp = 3
/
ATOMIC_SPECIES
Ac 227.00 Ac.upf
Al 26.98 Al.upf
Si 28.09 Si.upf
ATOMIC_POSITIONS angstrom
Ac 2.3052 7.1243 3.3297
Ac 2.3052 -7.1243 1.1099
Al 2.3052 4.5174 1.1099
Al 2.3052 0.6484 3.3297
Al 2.3052 -0.6484 1.1099
Al 2.3052 -4.5174 3.3297
Si 2.3052 3.2041 3.3297
Si 2.3052 -3.2041 1.1099
CELL_PARAMETERS angstrom
2.3052 -8.9902 0.0000
2.3052 8.9902 0.0000
0.0000 0.0000 4.4396
```

Going by the energies, ii is most stable and the next is 0.090 eV/atom up.

i | The following is a DFT calculation (PBE) of an optimized crystal structure of AcAl2Si. Values from VASP.

Computed properties:
* crystal system: trigonal

```
&SYSTEM
  ibrav = 0, nat = 4, ntyp = 3
/
ATOMIC_SPECIES
Ac 227.00 Ac.upf
Al 26.98 Al.upf
Si 28.09 Si.upf
ATOMIC_POSITIONS angstrom
Ac 0.0000 0.0000 0.0000
Al 0.0000 0.0000 3.4699
Al 0.0000 0.0000 13.4309
Si 0.0000 0.0000 8.4504
CELL_PARAMETERS angstrom
2.2091 1.2754 5.6336
-2.2091 1.2754 5.6336
0.0000 -2.5508 5.6336
```

ii | The following is a DFT calculation (PBE) of an optimized crystal structure of AcAl2Si. Values from VASP.

Computed properties:
* crystal system: tetragonal

```
&SYSTEM
  ibrav = 0, nat = 4, ntyp = 3
/
ATOMIC_SPECIES
Ac 227.00 Ac.upf
Al 26.98 Al.upf
Si 28.09 Si.upf
ATOMIC_POSITIONS angstrom
Ac 0.0000 0.0000 0.0000
Al 1.7932 1.7932 2.2666
Al 1.7932 1.7932 4.8120
Si 0.0000 0.0000 3.5393
CELL_PARAMETERS angstrom
3.5864 0.0000 0.0000
0.0000 3.5864 0.0000
0.0000 0.0000 7.0786
```

Going by the energies, i is most stable and the next is 0.154 eV/atom up.

i | The following is a DFT calculation (PBE) of an optimized crystal structure of Ac3Al2Si3. Values from VASP.

Computed properties:
* crystal system: orthorhombic

```
&SYSTEM
  ibrav = 0, nat = 16, ntyp = 3
/
ATOMIC_SPECIES
Ac 227.00 Ac.upf
Al 26.98 Al.upf
Si 28.09 Si.upf
ATOMIC_POSITIONS angstrom
Ac 2.1746 5.5523 12.1806
Ac 2.1746 1.8626 9.5907
Ac 2.1746 1.8626 14.7706
Ac 2.1746 -1.8626 1.4702
Ac 2.1746 -1.8626 6.6502
Ac 2.1746 -5.5523 4.0602
Al 2.1746 1.5788 1.9236
Al 2.1746 1.5788 6.1968
Al 2.1746 -1.5788 10.0440
Al 2.1746 -1.5788 14.3173
Si 2.1746 5.1786 9.0281
Si 2.1746 5.1786 15.3332
Si 2.1746 3.0086 4.0602
Si 2.1746 -3.0086 12.1806
Si 2.1746 -5.1786 0.9077
Si 2.1746 -5.1786 7.2128
CELL_PARAMETERS angstrom
2.1746 -5.9401 0.0000
2.1746 5.9401 0.0000
0.0000 0.0000 16.2409
```

ii | The following is a DFT calculation (PBE) of an optimized crystal structure of Ac3Al2Si3. Values from VASP.

Computed properties:
* crystal system: orthorhombic

```
&SYSTEM
  ibrav = 0, nat = 16, ntyp = 3
/
ATOMIC_SPECIES
Ac 227.00 Ac.upf
Al 26.98 Al.upf
Si 28.09 Si.upf
ATOMIC_POSITIONS angstrom
Ac 2.2097 5.2917 9.2575
Ac 2.2097 5.2917 13.5382
Ac 2.2097 1.7445 11.3979
Ac 2.2097 -1.7445 3.7993
Ac 2.2097 -5.2917 1.6589
Ac 2.2097 -5.2917 5.9396
Al 2.2097 3.2887 1.4663
Al 2.2097 3.2887 6.1323
Al 2.2097 -3.2887 9.0648
Al 2.2097 -3.2887 13.7309
Si 2.2097 1.8301 3.7993
Si 2.2097 1.7048 8.2559
Si 2.2097 1.7048 14.5399
Si 2.2097 -1.7048 0.6573
Si 2.2097 -1.7048 6.9413
Si 2.2097 -1.8301 11.3979
CELL_PARAMETERS angstrom
2.2097 -6.0494 0.0000
2.2097 6.0494 0.0000
0.0000 0.0000 15.1972
```

Going by the energies, i is most stable and the next is 0.032 eV/atom up.